# 1
Material: Ag4PtSe
Method: DFT, PBE-GGA
State: relaxed

Properties
raw formation energy: 0.34 eV per atom

```
6
Lattice="0.000 3.839 3.839 3.839 0.000 3.839 3.839 3.839 0.000" Properties=species:S:1:pos:R:3 pbc="T T T"
Ag 0.957 0.957 0.957
Ag 2.882 2.882 0.957
Ag 2.882 0.957 2.882
Ag 0.957 2.882 2.882
Pt 5.759 5.759 5.759
Se 3.839 3.839 3.839
```

# 2
Material: BeAs2Ir
Method: DFT, PBE-GGA
State: relaxed

Properties
calculated total energy: -5.14 eV/atom

```
4
Lattice="-1.976 1.976 3.786 1.976 -1.976 3.786 1.976 1.976 -3.786" Properties=species:S:1:pos:R:3 pbc="T T T"
Be 0.000 0.000 0.000
As 0.000 0.000 3.786
As 0.000 1.976 1.893
Ir 1.976 0.000 1.893
```

# 3
Material: LaPaMnS6
Method: DFT, PBE-GGA
State: relaxed

Properties
raw formation energy: -1.15 eV per atom

```
9
Lattice="6.501 0.000 0.000 -3.251 5.630 0.000 0.000 0.000 5.884" Properties=species:S:1:pos:R:3 pbc="T T T"
La 0.000 0.000 0.000
Pa 3.251 1.877 2.942
Mn 0.000 3.753 0.000
S -1.098 2.191 1.420
S -1.902 3.583 4.464
S 1.098 2.191 4.464
S -0.804 5.486 1.420
S 1.902 3.583 1.420
S 0.804 5.486 4.464
```

# 4
Material: CaNb2TlB
Method: DFT, PBE-GGA
State: relaxed

Properties
calculated total energy: -3.45 eV/atom

```
5
Lattice="4.827 0.000 0.000 0.000 4.827 0.000 0.000 0.000 5.462" Properties=species:S:1:pos:R:3 pbc="T T T"
Ca 0.000 0.000 0.000
Nb 0.000 2.414 0.000
Nb 2.414 0.000 0.000
Tl 0.000 0.000 2.731
B 2.414 2.414 2.731
```

# 5
Material: Tb2DyEr
Method: DFT, PBE-GGA
State: relaxed

Properties
ΔE to the lowest computed polymorph: 0.010 eV/atom

```
4
Lattice="1.768 1.021 11.519 -1.768 1.021 11.519 0.000 -2.041 11.519" Properties=species:S:1:pos:R:3 pbc="T T T"
Tb 0.000 0.000 8.650
Tb 0.000 0.000 25.906
Dy 0.000 0.000 17.278
Er 0.000 0.000 0.000
```

# 6
Material: AlCu2Re
Method: DFT, PBE-GGA
State: relaxed

Properties
calculated total energy: -6.03 eV/atom

```
4
Lattice="4.615 -1.326 0.000 4.615 1.326 0.000 -1.093 0.000 4.430" Properties=species:S:1:pos:R:3 pbc="T T T"
Al 0.000 0.000 0.000
Cu 1.530 0.000 3.306
Cu 6.607 0.000 1.124
Re 4.068 0.000 2.215
```

# 7
Material: Mg2AsOs
Method: DFT, PBE-GGA
State: relaxed

Properties
calculated total energy: -4.81 eV/atom

```
4
Lattice="3.339 0.000 0.000 0.000 4.096 0.000 -1.663 0.000 5.174" Properties=species:S:1:pos:R:3 pbc="T T T"
Mg 0.000 0.000 0.000
Mg -0.001 2.048 3.396
As 1.666 0.000 2.343
Os 1.670 2.048 1.042
```

# 8
Material: Dy2HoEr4
Method: DFT, PBE-GGA
State: relaxed

Properties
ΔE to the lowest computed polymorph: 0.138 eV/atom

```
14
Lattice="5.962 0.000 0.000 0.000 6.537 0.000 -2.901 0.000 11.092" Properties=species:S:1:pos:R:3 pbc="T T T"
Dy -0.843 1.634 5.481
Dy 1.880 4.903 0.619
Dy 1.181 1.634 10.474
Dy 3.905 4.903 5.611
Ho 0.982 4.903 7.113
Ho 2.080 1.634 3.980
Er -1.368 0.028 8.760
Er -1.368 3.240 8.760
Er 1.100 1.634 0.831
Er 1.106 4.903 3.774
Er 1.956 1.634 7.318
Er 1.961 4.903 10.261
Er 4.430 3.297 2.332
Er 4.430 6.509 2.332
```

# 9
Material: BeAl2Tc
Method: DFT, PBE-GGA
State: relaxed

Properties
calculated total energy: -5.38 eV/atom

```
4
Lattice="0.000 2.976 2.976 2.976 0.000 2.976 2.976 2.976 0.000" Properties=species:S:1:pos:R:3 pbc="T T T"
Be 0.000 0.000 0.000
Al 2.976 2.976 2.976
Al 4.464 4.464 4.464
Tc 1.488 1.488 1.488
```

# 10
Material: TlGaP2O
Method: DFT, PBE-GGA
State: relaxed

Properties
raw formation energy: 0.22 eV per atom
ΔE to the lowest computed polymorph: 0.000 eV/atom

```
5
Lattice="5.080 0.000 0.000 0.000 5.080 0.000 0.000 0.000 3.634" Properties=species:S:1:pos:R:3 pbc="T T T"
Tl 0.000 0.000 0.000
Ga 2.540 2.540 1.817
P 0.000 2.540 1.817
P 2.540 0.000 1.817
O 2.540 2.540 0.000
```

# 11
Material: RePtW2
Method: DFT, PBE-GGA
State: relaxed

Properties
ΔE to the lowest computed polymorph: 0.370 eV/atom

```
4
Lattice="0.000 3.166 3.166 3.166 0.000 3.166 3.166 3.166 0.000" Properties=species:S:1:pos:R:3 pbc="T T T"
Re 0.000 0.000 0.000
Pt 4.748 4.748 4.748
W 1.583 1.583 1.583
W 3.166 3.166 3.166
```

# 12
Material: NaHf2Pt2
Method: DFT, PBE-GGA
State: relaxed

Properties
ΔE to the lowest computed polymorph: 0.067 eV/atom

```
10
Lattice="8.191 0.000 0.000 0.000 8.191 0.000 0.000 0.000 2.948" Properties=species:S:1:pos:R:3 pbc="T T T"
Na 0.000 0.000 0.000
Na 4.095 4.095 0.000
Hf 1.227 2.869 0.000
Hf 2.869 6.964 0.000
Hf 5.322 1.227 0.000
Hf 6.964 5.322 0.000
Pt 1.175 5.271 1.474
Pt 2.920 1.175 1.474
Pt 5.271 7.015 1.474
Pt 7.015 2.920 1.474
```

# 13
Material: ThGe2Ir
Method: DFT, PBE-GGA
State: relaxed

Properties
calculated total energy: -6.69 eV/atom

```
4
Lattice="2.534 1.463 3.624 -2.534 1.463 3.624 0.000 -2.926 3.624" Properties=species:S:1:pos:R:3 pbc="T T T"
Th 0.000 0.000 0.000
Ge 0.000 0.000 2.902
Ge 0.000 0.000 7.971
Ir 0.000 0.000 5.436
```